Entry from the Alexandria database: a relaxed MgSc3Al crystal (PBE).

Unit cell a=13.231 b=8.898 c=10.085 alpha=90.00 beta=130.08 gamma=90.00
Space group C2/c (No. 15)
Unique sites:
Mg (0.086, 0.035, 0.198) [8 per cell]
Sc (0.114, 0.399, 0.080) [8 per cell]
Sc (0.160, 0.250, 0.557) [8 per cell]
Sc (0.241, 0.100, 0.072) [8 per cell]
Al (0.000, 0.251, 0.750) [4 per cell]
Al (0.000, 0.435, 0.250) [4 per cell]

Summary:
The value obtained for the uncorrected energy is -198.06 eV/cell. The formation enthalpy at 0 K comes out at -0.085 eV/atom. The size of the total moment comes out at 0.000 μB per atom.

=====

Entry from the Alexandria database: a relaxed KSeSCl2 crystal (PBE).

Unit cell a=5.508 b=5.508 c=6.009 alpha=90.00 beta=90.00 gamma=90.00
Space group P4/mmm (No. 123)
Unique sites:
K (0.000, 0.000, 0.000) [1 per cell]
Se (0.500, 0.500, 0.500) [1 per cell]
S (0.000, 0.000, 0.500) [1 per cell]
Cl (0.000, 0.500, 0.000) [2 per cell]

Summary:
For the uncorrected formation energy, the calculation gives 64 kJ/mol of atoms. The value obtained for the uncorrected energy is -9.09 eV/cell. The size of the total moment comes out at 0.042 μB per atom.

=====

Entry from the Alexandria database: a relaxed YTl2CrBr crystal (PBE).

Unit cell a=5.280 b=5.280 c=5.194 alpha=90.00 beta=90.00 gamma=90.00
Space group P4/mmm (No. 123)
Unique sites:
Y (0.000, 0.000, 0.000) [1 per cell]
Tl (0.000, 0.500, 0.500) [2 per cell]
Cr (0.000, 0.000, 0.500) [1 per cell]
Br (0.500, 0.500, 0.000) [1 per cell]

Summary:
For the uncorrected formation energy, the calculation gives 11 kJ/mol of atoms. The value obtained for the uncorrected energy is -21.91 eV/cell. The size of the total moment comes out at 0.456 μB per atom.

=====

Entry from the Alexandria database: a relaxed AcPmNi3 crystal (PBE).

Unit cell a=4.140 b=24.734 c=4.122 alpha=90.00 beta=90.00 gamma=90.00
Space group Cmcm (No. 63)
Unique sites:
Ac (0.000, 0.072, 0.250) [4 per cell]
Pm (0.000, 0.205, 0.750) [4 per cell]
Ni (0.000, 0.324, 0.750) [4 per cell]
Ni (0.000, 0.376, 0.250) [4 per cell]
Ni (0.000, 0.474, 0.250) [4 per cell]

Summary:
The value obtained for the uncorrected energy is -110.85 eV/cell. The formation enthalpy at 0 K comes out at -0.302 eV/atom. The size of the total moment comes out at 0.000 μB per atom.

=====

Entry from the Alexandria database: a relaxed La3HoTm3S8 crystal (PBE).

Unit cell a=7.8697 b=7.8697 c=20.0310 alpha=90.00 beta=90.00 gamma=120.00
Space group R-3m (No. 166, hexagonal axes)
Unique sites:
La (0.0000, 0.5000, 0.0000) [9 per cell]
Ho (0.0000, 0.0000, 0.5000) [3 per cell]
Tm (0.0000, 0.5000, 0.5000) [9 per cell]
S (0.0000, 0.0000, 0.2415) [6 per cell]
S (0.0047, 0.5023, 0.7573) [18 per cell]

Summary:
For the uncorrected formation energy, the calculation gives -202 kJ/mol of atoms. The value obtained for the uncorrected energy is -291.46 eV/cell. The size of the total moment comes out at 0.000 μB per atom.

=====

Entry from the Alexandria database: a relaxed PuZnGe crystal (PBE).

Unit cell a=4.126 b=10.290 c=5.836 alpha=90.00 beta=90.00 gamma=90.00
Space group Cmcm (No. 63)
Unique sites:
Pu (0.000, 0.191, 0.250) [4 per cell]
Zn (0.000, 0.500, 0.000) [4 per cell]
Ge (0.000, 0.105, 0.750) [4 per cell]

Summary:
The value obtained for the uncorrected energy is -83.60 eV/cell. The formation enthalpy at 0 K comes out at -0.226 eV/atom. The size of the total moment comes out at 1.865 μB per atom.

=====

Entry from the Alexandria database: a relaxed LiWBr3 crystal (PBE).

Unit cell a=5.393 b=5.393 c=5.393 alpha=90.00 beta=90.00 gamma=90.00
Space group Pm-3m (No. 221)
Unique sites:
Li (0.000, 0.000, 0.000) [1 per cell]
W (0.500, 0.500, 0.500) [1 per cell]
Br (0.000, 0.500, 0.500) [3 per cell]

Summary:
For the uncorrected formation energy, the calculation gives 1 kJ/mol of atoms. The value obtained for the uncorrected energy is -19.81 eV/cell. The size of the total moment comes out at 0.800 μB per atom.

=====

Entry from the Alexandria database: a relaxed CrBiP crystal (PBE).

Unit cell a=4.6044 b=4.6044 c=4.3973 alpha=90.00 beta=90.00 gamma=120.00
Space group P-6m2 (No. 187)
Unique sites:
Cr (0.0000, 0.0000, 0.0000) [1 per cell]
Bi (0.3333, 0.6667, 0.0000) [1 per cell]
P (0.0000, 0.0000, 0.5000) [1 per cell]

Summary:
The value obtained for the uncorrected energy is -17.58 eV/cell. The formation enthalpy at 0 K comes out at 0.444 eV/atom. The size of the total moment comes out at 0.618 μB per atom.

=====

What are the N(E_F) values for these records? In order: 1.2487; 3.2816; 0.6014; 1.0423; 0.4828; 3.1253; 0.1208; 0.5699 states/eV per atom.